(1)
Here is crystalline Sc3SBr at its relaxed geometry from Alexandria. Energies are from GGA-PBE.

Geometry as extended XYZ:
```
5
Lattice="-4.813 0.788 -0.621 -1.004 -3.829 2.916 -0.016 2.981 3.909" Properties=species:S:1:pos:R:3 pbc="T T T"
Sc -2.406 0.394 -0.311
Sc -0.008 1.491 1.954
Sc -0.502 -1.914 1.458
S 0.000 0.000 0.000
Br -2.916 -0.030 3.102
```

Values from the calculation:
The calculation puts the total energy at -27.4 eV for the cell shown. As for the total magnetization: 2.322 μB per cell. Its uncorrected formation energy is -0.513 eV per atom. The crystal system is cubic. The energy above the lowest structure with this stoichiometry comes out at 0 meV per atom.

(2)
Here is crystalline Nd3Be2Ge3 at its relaxed geometry from Alexandria. Energies are from GGA-PBE.

Geometry as extended XYZ:
```
16
Lattice="-3.425 2.022 0.240 -0.791 -5.495 1.941 3.648 4.491 14.197" Properties=species:S:1:pos:R:3 pbc="T T T"
Ge 1.322 0.446 15.095
Ge -0.498 2.286 6.703
Ge -0.401 -1.230 4.631
Ge -0.070 -1.268 9.676
Ge -0.166 2.248 11.748
Ge -1.890 0.572 1.284
Be -0.245 -0.684 2.273
Be 0.700 0.479 5.952
Be -1.268 0.539 10.427
Be -0.323 1.703 14.105
Nd 0.444 -0.737 12.535
Nd 2.560 2.731 13.509
Nd -1.012 1.755 3.844
Nd -3.128 -1.713 2.869
Nd -1.976 -0.295 7.354
Nd 1.408 1.313 9.024
```

Values from the calculation:
The calculation puts the total energy at -80.9 eV for the cell shown. As for the total magnetization: 0.000 μB per cell. The formation energy comes out at -605 meV per atom. The crystal system is orthorhombic.